Entry 1:
First-principles (PBE+U) data for CsCr2As2O6 after structural relaxation, as listed in Alexandria via LeMat-Bulk.

Summary:
As for the total energy: -70.914 eV per formula unit. The calculation puts the density of states at the Fermi level at 0.07 states/eV per atom. The calculation puts the calculated volume at 263.00 Å³ per cell.

```
data_CsCr2As2O6
_chemical_formula_sum 'Cs1 Cr2 As2 O6'
_symmetry_space_group_name_H-M 'P -1'
_symmetry_Int_Tables_number 2
_cell_length_a 5.4005
_cell_length_b 7.3408
_cell_length_c 7.5284
_cell_angle_alpha 103.61
_cell_angle_beta 108.65
_cell_angle_gamma 101.08
loop_
_symmetry_equiv_pos_as_xyz
'x,y,z'
'-x,-y,-z'
loop_
_atom_site_label
_atom_site_type_symbol
_atom_site_fract_x
_atom_site_fract_y
_atom_site_fract_z
Cs1 Cs 0.0000 0.0000 0.0000
Cr1 Cr 0.2544 0.9392 0.5549
As1 As 0.2689 0.3396 0.5626
O1 O 0.0514 0.7333 0.6371
O2 O 0.1342 0.1682 0.6819
O3 O 0.4241 0.1551 0.4623
```

Entry 2:
First-principles (PBE+U) data for CsCrAsO4 after structural relaxation, as listed in Alexandria via LeMat-Bulk.

Summary:
As for the total energy: -43.304 eV per formula unit. The calculation puts the calculated volume at 254.62 Å³ per cell.

```
data_CsCrAsO4
_chemical_formula_sum 'Cs2 Cr2 As2 O8'
_symmetry_space_group_name_H-M 'P 1 21/m 1'
_symmetry_Int_Tables_number 11
_cell_length_a 5.6388
_cell_length_b 5.9481
_cell_length_c 7.9639
_cell_angle_alpha 90.00
_cell_angle_beta 107.59
_cell_angle_gamma 90.00
loop_
_symmetry_equiv_pos_as_xyz
'x,y,z'
'-x,-y,-z'
'-x,y+1/2,-z'
'x,-y+1/2,z'
loop_
_atom_site_label
_atom_site_type_symbol
_atom_site_fract_x
_atom_site_fract_y
_atom_site_fract_z
Cs1 Cs 0.2060 0.2500 0.4353
Cr1 Cr 0.2770 0.2500 0.9590
As1 As 0.2475 0.7500 0.1415
O1 O 0.0189 0.7500 0.9399
O2 O 0.0621 0.7500 0.2808
O3 O 0.4509 0.5257 0.1657
```